## Li9Cr5O12 (meta-GGA SCAN)

Data for Li9Cr5O12 at its PBEsol-relaxed geometry.

Geometry as POSCAR:
```
Li9Cr5O12
1.0
2.5401 -4.4433 0.0000
2.5401 4.4433 0.0000
-1.1433 0.0000 9.7488
Li Cr O
9 5 12
Direct
0.0000 0.0000 0.0000 Li
0.1928 0.1928 0.2560 Li
0.2077 0.6500 0.7487 Li
0.2584 0.2584 0.8063 Li
0.3500 0.7923 0.2513 Li
0.6500 0.2077 0.7487 Li
0.7416 0.7416 0.1937 Li
0.7923 0.3500 0.2513 Li
0.8072 0.8072 0.7440 Li
0.1652 0.8348 0.5000 Cr
0.3318 0.6682 0.0000 Cr
0.5000 0.5000 0.5000 Cr
0.6682 0.3318 0.0000 Cr
0.8348 0.1652 0.5000 Cr
0.0230 0.6730 0.1181 O
0.1436 0.4751 0.3920 O
0.1880 0.1880 0.6066 O
0.3270 0.9770 0.8819 O
0.3920 0.3920 0.1147 O
0.4751 0.1436 0.3920 O
0.5249 0.8564 0.6080 O
0.6080 0.6080 0.8853 O
0.6730 0.0230 0.1181 O
0.8120 0.8120 0.3934 O
0.8564 0.5249 0.6080 O
0.9770 0.3270 0.8819 O
```

Results
The calculation puts the uncorrected formation energy at -2.344 eV per atom.